Here is a geometry-optimized CrNi2Cl structure from Alexandria via LeMat-Bulk. Energies are from PBE.

Lattice parameters (Å, degrees): 2.8405 4.2194 4.4267 90.00 90.00 90.00
Space group Pmmm (No. 47)
One atom of each set of equivalent atoms:
Cr  0.0000  0.0000  0.0000 (multiplicity 1)
Ni  0.0000  0.5000  0.5000 (multiplicity 1)
Ni  0.5000  0.0000  0.5000 (multiplicity 1)
Cl  0.5000  0.5000  0.0000 (multiplicity 1)

Output
E_form (uncorrected)   2.0 eV per formula unit
Energy relative to the lowest polymorph listed for this composition   1.19 eV per formula unit

***

Here is a geometry-optimized K3CdBi2 structure from Alexandria via LeMat-Bulk. Energies are from PBE.

Lattice parameters (Å, degrees): 7.5430 13.9693 10.6670 90.00 90.00 90.00
Space group Ibam (No. 72)
One atom of each set of equivalent atoms:
K  0.0000  0.0000  0.2500 (multiplicity 4)
K  0.0000  0.2957  0.2500 (multiplicity 8)
Cd  0.0000  0.5000  0.0000 (multiplicity 4)
Bi  0.2053  0.1269  0.0000 (multiplicity 8)

Output
E_form   -0.20 eV/atom
Energy relative to the lowest polymorph listed for this composition   0.47 eV per formula unit

***

Here is a geometry-optimized Mg6CuBiO8 structure from Alexandria via LeMat-Bulk. Energies are from PBE.

Lattice parameters (Å, degrees): 4.4459 4.4459 8.9798 90.00 90.00 90.00
Space group P4/mmm (No. 123)
One atom of each set of equivalent atoms:
Mg  0.0000  0.0000  0.0000 (multiplicity 1)
Mg  0.0000  0.5000  0.2339 (multiplicity 4)
Mg  0.5000  0.5000  0.0000 (multiplicity 1)
Cu  0.0000  0.0000  0.5000 (multiplicity 1)
Bi  0.5000  0.5000  0.5000 (multiplicity 1)
O  0.0000  0.0000  0.2282 (multiplicity 2)
O  0.0000  0.5000  0.0000 (multiplicity 2)
O  0.0000  0.5000  0.5000 (multiplicity 2)
O  0.5000  0.5000  0.2312 (multiplicity 2)

Output
E_form (uncorrected)   -32.9 eV per formula unit
Energy relative to the lowest polymorph listed for this composition   0.00 eV per formula unit

***

Here is a geometry-optimized PaFeIr2 structure from Alexandria via LeMat-Bulk. Energies are from PBE.

Lattice parameters (Å, degrees): 4.0799 4.0799 3.9767 90.00 90.00 90.00
Space group P4/mmm (No. 123)
One atom of each set of equivalent atoms:
Pa  0.0000  0.0000  0.0000 (multiplicity 1)
Fe  0.5000  0.5000  0.0000 (multiplicity 1)
Ir  0.0000  0.5000  0.5000 (multiplicity 2)

Output
E_form   -0.58 eV/atom
Energy relative to the lowest polymorph listed for this composition   0.00 eV per formula unit